Th6TlGe2Te3, optimized geometry, DFT PBE-GGA; formation energy (no corrections) = -0.8367 eV/atom; N(E_F) = 6.946 states/eV per cell; crystal system = monoclinic
1.0
-2.852 -3.390 -0.180
2.812 -2.790 7.973
-5.850 7.701 2.267
Th Te Tl Ge
6 3 1 2
Direct
0.668 0.112 0.335 Th
0.011 0.251 0.022 Th
0.332 0.888 0.665 Th
0.674 0.568 0.347 Th
0.326 0.432 0.653 Th
0.989 0.749 0.978 Th
0.163 0.836 0.325 Te
0.500 0.500 0.000 Te
0.837 0.164 0.675 Te
0.500 0.000 0.000 Tl
0.832 0.662 0.663 Ge
0.168 0.338 0.337 Ge